[1]
This record from the Alexandria database describes crystalline Tb3Sm8Er4 at its relaxed geometry. The functional is GGA-PBE.

Cell and atoms, written as POSCAR:
```
Tb3Sm8Er4
1.0
6.1366 0.0000 3.3096
2.1758 5.7379 3.3096
-2.5710 -1.7747 12.1112
Tb Sm Er
3 8 4
direct
0.5000 0.0000 0.5000 Tb
0.0000 0.0000 0.5000 Tb
0.0000 0.5000 0.5000 Tb
0.2457 0.2457 0.2628 Sm
0.2486 0.7507 0.2500 Sm
0.7507 0.7507 0.2500 Sm
0.7507 0.2486 0.2500 Sm
0.7543 0.7543 0.7372 Sm
0.7514 0.2493 0.7500 Sm
0.2493 0.2493 0.7500 Sm
0.2493 0.7514 0.7500 Sm
0.0000 0.0000 0.0000 Er
0.3358 0.3358 0.9926 Er
0.5000 0.5000 0.5000 Er
0.6642 0.6642 0.0074 Er
```

Output
- total moment (μB/f.u.) = 0.00
- energy above the lowest structure with this stoichiometry (meV/atom) = 0.0
- total DFT energy (no corrections) (eV/atom) = -4.50

---

[2]
This record from the Alexandria database describes crystalline PrSmBr at its relaxed geometry. The functional is GGA-PBE.

Cell and atoms, written as POSCAR:
```
PrSmBr
1.0
-0.4124 -1.8396 3.3343
3.4774 0.3799 -1.5604
0.9598 6.5542 3.7347
Pr Br Sm
1 1 1
direct
0.0000 0.0000 0.0158 Pr
0.6667 0.3333 0.3400 Br
0.3333 0.6667 0.6442 Sm
```

Output
- total moment (μB/f.u.) = 0.46
- raw formation energy (meV/atom) = -751
- energy above the lowest structure with this stoichiometry (meV/atom) = 11.8
- total DFT energy (no corrections) (eV/atom) = -4.47

---

[3]
This record from the Alexandria database describes crystalline Cu12PdPt6 at its relaxed geometry. The functional is GGA-PBE.

Cell and atoms, written as POSCAR:
```
Cu12PdPt6
1.0
6.6021 0.7927 2.0853
1.7528 6.4143 2.0853
0.9190 0.7927 6.8623
Cu Pd Pt
12 1 6
direct
0.5044 0.1770 0.5044 Cu
0.1770 0.5044 0.5044 Cu
0.5044 0.5044 0.1770 Cu
0.4956 0.8230 0.4956 Cu
0.8230 0.4956 0.4956 Cu
0.4956 0.4956 0.8230 Cu
0.5189 0.1498 0.1498 Cu
0.8502 0.4811 0.8502 Cu
0.8502 0.8502 0.4811 Cu
0.4811 0.8502 0.8502 Cu
0.1498 0.5189 0.1498 Cu
0.1498 0.1498 0.5189 Cu
0.0000 0.0000 0.0000 Pd
0.2616 0.8878 0.2616 Pt
0.1122 0.7384 0.7384 Pt
0.7384 0.7384 0.1122 Pt
0.7384 0.1122 0.7384 Pt
0.8878 0.2616 0.2616 Pt
0.2616 0.2616 0.8878 Pt
```

Output
- total moment (μB/f.u.) = 0.00
- energy above the lowest structure with this stoichiometry (meV/atom) = 0.0
- total DFT energy (no corrections) (eV/atom) = -4.79

---

[4]
This record from the Alexandria database describes crystalline TePtAuN2 at its relaxed geometry. The functional is GGA-PBE.

Cell and atoms, written as POSCAR:
```
TePtAuN2
1.0
-3.7798 -0.5982 0.1007
0.5724 -3.7275 -0.6579
0.3659 -1.1558 6.8664
Te Au Pt N
1 1 1 2
direct
0.0000 0.0000 0.5000 Te
0.5000 0.5000 0.5000 Au
0.0000 0.0000 0.0000 Pt
0.0000 0.5000 0.0000 N
0.5000 0.0000 0.0000 N
```

Output
- total moment (μB/f.u.) = 0.00
- raw formation energy (meV/atom) = 1115
- energy above the lowest structure with this stoichiometry (meV/atom) = 0.0
- total DFT energy (no corrections) (eV/atom) = -4.71

---

[5]
This record from the Alexandria database describes crystalline GaPd8Se2 at its relaxed geometry. The functional is GGA-PBE.

Cell and atoms, written as POSCAR:
```
GaPd8Se2
1.0
4.0647 -0.0761 -1.2522
-0.9635 5.8532 -2.4190
0.4100 -0.4524 7.5369
Se Pd Ga
2 8 1
direct
0.1266 0.6721 0.3394 Se
0.8734 0.3279 0.6606 Se
0.5571 0.7249 0.1785 Pd
0.3297 0.6147 0.6476 Pd
0.1569 0.0788 0.3635 Pd
0.0434 0.2535 0.0651 Pd
0.8431 0.9212 0.6365 Pd
0.6703 0.3853 0.3524 Pd
0.4429 0.2751 0.8215 Pd
0.9566 0.7465 0.9349 Pd
0.5000 0.0000 0.0000 Ga
```

Output
- total moment (μB/f.u.) = 0.00
- raw formation energy (meV/atom) = -277
- total DFT energy (no corrections) (eV/atom) = -4.96

---

[6]
This record from the Alexandria database describes crystalline VOsC3 at its relaxed geometry. The functional is GGA-PBE.

Cell and atoms, written as POSCAR:
```
VOsC3
1.0
-3.8531 0.8616 -0.1161
-0.8644 -3.8531 0.0928
-0.0930 0.1160 3.9472
C Os V
3 1 1
direct
0.0000 0.5000 0.0000 C
0.0000 0.0000 0.5000 C
0.5000 0.0000 0.0000 C
0.0000 0.0000 0.0000 Os
0.5000 0.5000 0.5000 V
```

Output
- total moment (μB/f.u.) = 2.76
- energy above the lowest structure with this stoichiometry (meV/atom) = 0.0
- total DFT energy (no corrections) (eV/atom) = -7.73

---

[7]
This record from the Alexandria database describes crystalline Ti4CoC2 at its relaxed geometry. The functional is GGA-PBE.

Cell and atoms, written as POSCAR:
```
Ti4CoC2
1.0
3.0732 0.0000 0.0000
-1.5366 5.1066 0.0000
0.0000 0.0000 11.0441
C Co Ti
4 2 8
direct
0.1341 0.2681 0.4376 C
0.8659 0.7319 0.9376 C
0.1341 0.2681 0.0624 C
0.8659 0.7319 0.5624 C
0.6154 0.2308 0.7500 Co
0.3846 0.7692 0.2500 Co
0.7698 0.5395 0.1081 Ti
0.7698 0.5395 0.3919 Ti
0.2302 0.4605 0.8919 Ti
0.2302 0.4605 0.6081 Ti
0.9378 0.8755 0.7500 Ti
0.0622 0.1245 0.2500 Ti
0.5000 0.0000 0.0000 Ti
0.5000 0.0000 0.5000 Ti
```

Output
- total moment (μB/f.u.) = 0.00
- total DFT energy (no corrections) (eV/atom) = -8.77

---

[8]
This record from the Alexandria database describes crystalline RbAgICl2 at its relaxed geometry. The functional is GGA-PBE.

Cell and atoms, written as POSCAR:
```
RbAgICl2
1.0
-2.8913 -1.3600 4.1963
0.2225 -5.0559 -1.4852
4.7267 -0.6836 3.0352
I Rb Ag Cl
1 1 1 2
direct
0.0000 0.0000 0.5000 I
0.5000 0.5000 0.5000 Rb
0.0000 0.0000 0.0000 Ag
0.0000 0.5000 0.0000 Cl
0.5000 0.0000 0.0000 Cl
```

Output
- total moment (μB/f.u.) = 0.00
- raw formation energy (meV/atom) = -891
- total DFT energy (no corrections) (eV/atom) = -2.70

---

[9]
This record from the Alexandria database describes crystalline ReNi at its relaxed geometry. The functional is GGA-PBE.

Cell and atoms, written as POSCAR:
```
ReNi
1.0
-1.7337 -0.9891 -1.6696
-2.4061 -5.7650 5.9136
-3.9469 7.6314 -0.4226
Re Ni
6 6
direct
0.7500 0.8424 0.1576 Re
0.2500 0.1576 0.3152 Re
0.7500 0.3152 0.1576 Re
0.2500 0.1576 0.8424 Re
0.7500 0.8424 0.6848 Re
0.2500 0.6848 0.8424 Re
0.7500 0.4284 0.5716 Ni
0.2500 0.5716 0.1431 Ni
0.7500 0.1431 0.5716 Ni
0.2500 0.5716 0.4284 Ni
0.7500 0.4284 0.8569 Ni
0.2500 0.8569 0.4284 Ni
```

Output
- total moment (μB/f.u.) = 0.10
- total DFT energy (no corrections) (eV/atom) = -8.79